Record 1
PrNd3Ru2: optimized geometry, GGA-PBE.

Calculated total energy   -0.4643 Ry per atom

Lattice parameters (Å, degrees): 5.2462 9.4013 8.3368 124.20 90.00 106.20
Fractional coordinates of all 12 atoms:
Nd1 0.6277 0.2554 0.7425
Nd2 0.3723 0.7446 0.2575
Nd3 0.6818 0.3637 0.3627
Nd4 0.9308 0.8616 0.5955
Nd5 0.0692 0.1384 0.4045
Nd6 0.3182 0.6363 0.6373
Ru1 0.5093 0.0185 0.8583
Ru2 0.2270 0.4541 0.8279
Ru3 0.7730 0.5459 0.1721
Ru4 0.4907 0.9815 0.1417
Pr1 0.1335 0.2670 0.0398
Pr2 0.8665 0.7330 0.9602

***

Record 2
Pr3NdRu: optimized geometry, GGA-PBE.

Distance to the lowest polymorph of the same formula   0.0 meV per atom
Calculated total energy   -0.4270 Ry per atom

Lattice parameters (Å, degrees): 7.5484 7.5484 7.5577 108.90 111.14 108.34
Fractional coordinates of all 10 atoms:
Nd1 0.7047 0.0486 0.7533
Nd2 0.2953 0.9514 0.2467
Ru1 0.3791 0.2493 0.6284
Ru2 0.6209 0.7507 0.3716
Pr1 0.1568 0.9513 0.7075
Pr2 0.7070 0.4508 0.1578
Pr3 0.7562 0.5507 0.7075
Pr4 0.8432 0.0487 0.2925
Pr5 0.2930 0.5492 0.8422
Pr6 0.2438 0.4493 0.2925

***

Record 3
Pr4NdRu2: optimized geometry, GGA-PBE.

Calculated total energy   -0.4514 Ry per atom

Lattice parameters (Å, degrees): 6.7362 8.0525 8.0557 112.60 90.00 90.00
Fractional coordinates of all 14 atoms:
Pr1 0.9969 0.4126 0.7572
Pr2 0.7500 0.0217 0.3765
Pr3 0.7500 0.7603 0.6804
Pr4 0.5031 0.4126 0.7572
Pr5 0.4969 0.5874 0.2428
Pr6 0.2500 0.9783 0.6235
Pr7 0.2500 0.2397 0.3196
Pr8 0.0031 0.5874 0.2428
Nd1 0.7500 0.1621 0.0289
Nd2 0.2500 0.8379 0.9711
Ru1 0.7500 0.3702 0.4059
Ru2 0.2500 0.6298 0.5941
Ru3 0.2500 0.2560 0.9847
Ru4 0.7500 0.7440 0.0153